(1)
NpTc2W: relaxed, GGA-PBE. Values from VASP.

Properties
* spin magnetization: 2.52 μB/cell
* energy of formation: 0.125 eV per atom
* N(E_F): 1.4299 states/eV per atom

Quantum ESPRESSO input file:
```
&SYSTEM
  ibrav = 0, nat = 4, ntyp = 3
/
ATOMIC_SPECIES
Np 237.00 Np.upf
Tc 98.00 Tc.upf
W 183.84 W.upf
CELL_PARAMETERS angstrom
3.111 0.000 0.000
0.000 3.111 0.000
0.000 0.000 7.032
ATOMIC_POSITIONS crystal
Np 0.000 0.000 0.000
Tc 0.500 0.500 0.278
Tc 0.500 0.500 0.722
W 0.000 0.000 0.500
```

(2)
NpTc2W: relaxed, GGA-PBE. Values from VASP.

Properties
* spin magnetization: 3.27 μB/cell
* energy of formation: 0.167 eV per atom
* N(E_F): 0.9274 states/eV per atom

Quantum ESPRESSO input file:
```
&SYSTEM
  ibrav = 0, nat = 4, ntyp = 3
/
ATOMIC_SPECIES
Np 237.00 Np.upf
Tc 98.00 Tc.upf
W 183.84 W.upf
CELL_PARAMETERS angstrom
0.000 3.241 3.241
3.241 0.000 3.241
3.241 3.241 0.000
ATOMIC_POSITIONS crystal
Np 0.000 0.000 0.000
Tc 0.250 0.250 0.250
Tc 0.750 0.750 0.750
W 0.500 0.500 0.500
```

(3)
NpTcW2: relaxed, GGA-PBE. Values from VASP.

Properties
* spin magnetization: 2.17 μB/cell
* energy of formation: 0.357 eV per atom
* N(E_F): 1.3034 states/eV per atom

Quantum ESPRESSO input file:
```
&SYSTEM
  ibrav = 0, nat = 4, ntyp = 3
/
ATOMIC_SPECIES
Np 237.00 Np.upf
Tc 98.00 Tc.upf
W 183.84 W.upf
CELL_PARAMETERS angstrom
3.026 0.000 0.000
0.000 3.026 0.000
0.000 0.000 7.608
ATOMIC_POSITIONS crystal
Np 0.000 0.000 0.000
Tc 0.000 0.000 0.500
W 0.500 0.500 0.285
W 0.500 0.500 0.715
```

Which value of N(E_F) does entry 3 give?
1.3034 states/eV per atom